Record 1
{
  "formula": "LiCa2Hg",
  "functional": "PBE-GGA",
  "state": "optimized geometry",
  "volume_a3_per_fu": 132,
  "e_tot_ev_per_cell": -6.82,
  "sg": "R-3m",
  "delta_e_f_ev_per_fu": -0.60,
  "rho_g_cm3": 3.62,
  "lattice_angstrom": [[9.887, -0.116, -0.068], [9.131, 3.791, -0.068], [9.131, 1.765, 3.356]],
  "species": ["Ca", "Ca", "Hg", "Li"],
  "fractional_positions": [[0.991, 0.991, 0.991], [0.509, 0.509, 0.509], [0.250, 0.250, 0.250], [0.750, 0.750, 0.750]]
}

Record 2
{
  "formula": "Li6CaHg12",
  "functional": "PBE-GGA",
  "state": "optimized geometry",
  "relative_energy_kcal_per_mol_atoms": 1.32,
  "volume_a3_per_fu": 436,
  "e_tot_ev_per_cell": -21.43,
  "sg": "R-3m",
  "delta_e_f_ev_per_fu": -4.32,
  "rho_g_cm3": 9.48,
  "lattice_angstrom": [[-6.847, -1.530, 3.970], [5.700, -4.701, 3.223], [2.025, 7.629, 1.636]],
  "species": ["Li", "Li", "Li", "Li", "Li", "Li", "Ca", "Hg", "Hg", "Hg", "Hg", "Hg", "Hg", "Hg", "Hg", "Hg", "Hg", "Hg", "Hg"],
  "fractional_positions": [[0.707, 0.284, 0.284], [0.284, 0.284, 0.707], [0.284, 0.707, 0.284], [0.716, 0.716, 0.293], [0.293, 0.716, 0.716], [0.716, 0.293, 0.716], [0.000, 0.000, 0.000], [0.883, 0.117, 0.500], [0.857, 0.614, 0.614], [0.614, 0.614, 0.857], [0.386, 0.143, 0.386], [0.386, 0.386, 0.143], [0.143, 0.386, 0.386], [0.117, 0.500, 0.883], [0.500, 0.883, 0.117], [0.117, 0.883, 0.500], [0.883, 0.500, 0.117], [0.500, 0.117, 0.883], [0.614, 0.857, 0.614]]
}

Record 3
{
  "formula": "Li4CaHg8",
  "functional": "PBE-GGA",
  "state": "optimized geometry",
  "relative_energy_kcal_per_mol_atoms": 0.00,
  "volume_a3_per_fu": 280,
  "e_tot_ev_per_cell": -16.07,
  "sg": "I4/mmm",
  "delta_e_f_ev_per_fu": -4.00,
  "rho_g_cm3": 9.91,
  "lattice_angstrom": [[-4.084, 0.780, -4.112], [-2.344, -6.453, -3.054], [-6.987, -0.095, 2.763]],
  "species": ["Li", "Li", "Li", "Li", "Ca", "Hg", "Hg", "Hg", "Hg", "Hg", "Hg", "Hg", "Hg"],
  "fractional_positions": [[0.000, 0.000, 0.500], [0.500, 0.000, 0.500], [0.000, 0.500, 0.000], [0.500, 0.500, 0.000], [0.000, 0.000, 0.000], [0.000, 0.333, 0.667], [0.000, 0.667, 0.333], [0.333, 0.667, 0.667], [0.667, 0.333, 0.333], [0.500, 0.784, 0.216], [0.500, 0.216, 0.784], [0.284, 0.216, 0.216], [0.716, 0.784, 0.784]]
}

Record 4
{
  "formula": "LiCaHg2",
  "functional": "PBE-GGA",
  "state": "optimized geometry",
  "volume_a3_per_fu": 103,
  "e_tot_ev_per_cell": -5.76,
  "sg": "R3m",
  "delta_e_f_ev_per_fu": -1.24,
  "rho_g_cm3": 7.22,
  "lattice_angstrom": [[3.884, 0.000, 0.000], [1.942, 3.364, 0.000], [1.942, 1.121, 7.893]],
  "species": ["Li", "Ca", "Hg", "Hg"],
  "fractional_positions": [[0.499, 0.499, 0.504], [0.667, 0.667, 0.998], [0.096, 0.096, 0.711], [0.237, 0.237, 0.288]]
}

Record 5
{
  "formula": "Li3CaHg",
  "functional": "PBE-GGA",
  "state": "optimized geometry",
  "relative_energy_kcal_per_mol_atoms": 0.17,
  "volume_a3_per_fu": 121,
  "e_tot_ev_per_cell": -9.01,
  "sg": "Cm",
  "delta_e_f_ev_per_fu": -0.97,
  "rho_g_cm3": 3.60,
  "lattice_angstrom": [[4.300, -0.001, -0.003], [0.001, 4.300, -0.003], [2.142, 2.142, 6.526]],
  "species": ["Li", "Li", "Li", "Ca", "Hg"],
  "fractional_positions": [[0.644, 0.949, 0.416], [0.145, 0.448, 0.416], [0.797, 0.601, 0.110], [0.416, 0.219, 0.873], [0.005, 0.808, 0.695]]
}

Record 6
{
  "formula": "Li2Ca3Hg4",
  "functional": "PBE-GGA",
  "state": "optimized geometry",
  "relative_energy_kcal_per_mol_atoms": 0.00,
  "volume_a3_per_fu": 223,
  "e_tot_ev_per_cell": -14.97,
  "sg": "C2/m",
  "delta_e_f_ev_per_fu": -3.93,
  "rho_g_cm3": 6.96,
  "lattice_angstrom": [[5.272, 0.000, 0.000], [-2.636, 4.582, 0.074], [0.000, -1.541, 9.227]],
  "species": ["Li", "Li", "Ca", "Ca", "Ca", "Hg", "Hg", "Hg", "Hg"],
  "fractional_positions": [[0.720, 0.439, 0.406], [0.280, 0.561, 0.594], [0.631, 0.262, 0.754], [0.000, 0.000, 0.000], [0.369, 0.738, 0.246], [0.686, 0.371, 0.107], [0.314, 0.629, 0.893], [0.946, 0.892, 0.643], [0.054, 0.108, 0.357]]
}

Record 7
{
  "formula": "LiCa4Hg5",
  "functional": "PBE-GGA",
  "state": "optimized geometry",
  "volume_a3_per_fu": 256,
  "e_tot_ev_per_cell": -16.45,
  "sg": "P4/mmm",
  "delta_e_f_ev_per_fu": -5.02,
  "rho_g_cm3": 7.58,
  "lattice_angstrom": [[-2.677, -2.188, -1.251], [2.456, -2.674, -0.579], [-2.915, -6.480, 17.574]],
  "species": ["Li", "Ca", "Ca", "Ca", "Ca", "Hg", "Hg", "Hg", "Hg", "Hg"],
  "fractional_positions": [[0.000, 0.000, 0.000], [0.000, 0.000, 0.188], [0.000, 0.000, 0.396], [0.000, 0.000, 0.604], [0.000, 0.000, 0.812], [0.500, 0.500, 0.081], [0.500, 0.500, 0.292], [0.500, 0.500, 0.500], [0.500, 0.500, 0.708], [0.500, 0.500, 0.919]]
}

Record 8
{
  "formula": "LiCa2Hg",
  "functional": "PBE-GGA",
  "state": "optimized geometry",
  "volume_a3_per_fu": 112,
  "e_tot_ev_per_cell": -7.37,
  "sg": "P4/mmm",
  "delta_e_f_ev_per_fu": -1.15,
  "rho_g_cm3": 4.26,
  "lattice_angstrom": [[3.887, 0.000, 0.000], [0.000, 5.370, 0.000], [0.000, 0.000, 5.370]],
  "species": ["Ca", "Ca", "Hg", "Li"],
  "fractional_positions": [[0.000, 0.000, 0.500], [0.000, 0.500, 0.000], [0.500, 0.500, 0.500], [0.500, 0.000, 0.000]]
}